Entry from the Alexandria database: an optimized crystal structure of Ti2RePbW (PBE).

abc: 4.889 4.889 5.015
angles: 90.00 90.00 90.00
Space group P4/mmm (No. 123)
Inequivalent atoms, fractional coordinates:
Ti  0.000  0.500  0.000 (multiplicity 2)
Re  0.000  0.000  0.500 (multiplicity 1)
Pb  0.500  0.500  0.000 (multiplicity 1)
W  0.500  0.500  0.500 (multiplicity 1)

Values from the calculation:
The calculation puts the energy of formation from the pure elements at 2.48 eV per atom. The calculation puts the raw total energy at -6.4966 eV per atom. The crystal system is tetragonal.